5
Lattice="-2.7843 -2.3288 -2.8943 3.7140 -1.8240 -2.1052 -0.0811 -3.5780 2.9570" Properties=species:S:1:pos:R:3 comment="TlCoPd3 (PBE, relaxed)" ef_mev_per_atom=546 total_energy_ev_per_atom=-4.46 pbc="T T T"
Tl 0.4243 -3.8654 -1.0213
Co 0.0000 0.0000 0.0000
Pd 1.8570 -0.9120 -1.0526
Pd -0.0406 -1.7890 1.4785
Pd -1.3921 -1.1644 -1.4472